# GGA+U ZnFeO2, optimized geometry
data_ZnFeO2
_chemical_formula_sum 'Zn1 Fe1 O2'
_cell_length_a 3.154
_cell_length_b 3.154
_cell_length_c 4.218
_cell_angle_alpha 90.00
_cell_angle_beta 90.00
_cell_angle_gamma 90.00
_space_group_name_H-M_alt 'P 4/m m m'
_space_group_IT_number 123
_space_group_name_Hall '-P 4 2'
loop_
_atom_site_label
_atom_site_type_symbol
_atom_site_fract_x
_atom_site_fract_y
_atom_site_fract_z
Zn1 Zn 0.000 0.000 0.000
Fe1 Fe 0.500 0.500 0.500
O1 O 0.000 0.000 0.500
O2 O 0.500 0.500 0.000
# - Fermi-level density of states: 0.000 states/eV per atom
# - Volume: 10.49 A^3/atom
# - ρ: 6.06 g/cm3
# - Relative energy among the computed polymorphs: 6.4 kJ per mole of atoms